# TbLu2Ge4Pd4

A geometry-optimized TbLu2Ge4Pd4 structure (GGA-PBE, OQMD via LeMat-Bulk).

The structure in POSCAR format:
```
TbLu2Ge4Pd4
1.0
4.352 -6.738 -0.885
-0.755 -5.851 5.506
-3.164 4.619 -5.812
Lu Ge Pd Tb
2 4 4 1
Cartesian
-0.612 -5.331 1.578 Lu
1.046 -2.639 -2.769 Lu
2.808 -9.828 3.607 Ge
0.789 -2.761 1.013 Ge
-1.585 -1.283 -2.260 Ge
2.019 -6.687 1.069 Ge
2.782 -9.130 1.125 Pd
-1.089 -3.249 -0.698 Pd
-2.349 1.160 -2.316 Pd
1.522 -4.720 -0.493 Pd
0.000 0.000 0.000 Tb
```

VASP energy = -5.72 eV/atom